Compound: BSb2ICl
Source: Alexandria
Functional: PBE
Structure: optimized geometry

Structure (POSCAR):
```
BSb2ICl
1.0
4.933 0.000 0.000
0.000 4.933 0.000
0.000 0.000 5.103
Sb Cl I B
2 1 1 1
Cartesian
0.000 2.466 0.000
2.466 0.000 0.000
2.466 2.466 2.551
0.000 0.000 2.551
0.000 0.000 0.000
```

Values from the calculation:
As for the space-group type: P4/mmm (123). The value obtained for the energy relative to the lowest polymorph listed for this composition is 0 meV per atom.


Compound: B2SeICl
Source: Alexandria
Functional: PBE
Structure: optimized geometry

Structure (POSCAR):
```
B2SeICl
1.0
-0.040 -3.086 3.309
1.678 -4.173 -3.870
4.340 0.910 0.901
B Se I Cl
2 1 1 1
Cartesian
-0.020 -1.543 1.655
2.170 0.455 0.451
0.000 0.000 0.000
0.839 -2.086 -1.935
2.989 -3.174 0.170
```

Values from the calculation:
As for the space-group type: P4/mmm (123).


| no. | uncorrected formation energy (eV/atom) | DOS at the Fermi energy (states/eV per atom) |
| --- | --- | --- |
| 1 | 0.659 | 0.6549 |
| 2 | 1.647 | 0.8881 |